# KMg30CoO32

A relaxed KMg30CoO32 crystal (PBE with a Hubbard U, the Alexandria database).

Geometry as POSCAR:
```
KMg30CoO32
1.0
8.607 0.000 0.000
0.000 8.607 0.000
0.000 0.000 8.509
K Mg Co O
1 30 1 32
Direct
0.000 0.000 0.000
0.000 0.256 0.251
0.000 0.256 0.749
0.000 0.500 0.000
0.000 0.500 0.500
0.000 0.744 0.251
0.000 0.744 0.749
0.250 0.250 0.500
0.250 0.750 0.500
0.251 0.500 0.250
0.251 0.500 0.750
0.252 0.252 0.000
0.252 0.748 0.000
0.256 0.000 0.251
0.256 0.000 0.749
0.500 0.000 0.000
0.500 0.000 0.500
0.500 0.251 0.250
0.500 0.251 0.750
0.500 0.500 0.000
0.500 0.500 0.500
0.500 0.749 0.250
0.500 0.749 0.750
0.744 0.000 0.251
0.744 0.000 0.749
0.748 0.252 0.000
0.748 0.748 0.000
0.749 0.500 0.250
0.749 0.500 0.750
0.750 0.250 0.500
0.750 0.750 0.500
0.000 0.000 0.500
0.000 0.000 0.284
0.000 0.000 0.716
0.000 0.250 0.500
0.000 0.273 0.000
0.000 0.500 0.256
0.000 0.500 0.744
0.000 0.727 0.000
0.000 0.750 0.500
0.249 0.249 0.250
0.249 0.249 0.750
0.249 0.751 0.250
0.249 0.751 0.750
0.250 0.000 0.500
0.250 0.500 0.500
0.254 0.500 0.000
0.273 0.000 0.000
0.500 0.000 0.256
0.500 0.000 0.744
0.500 0.250 0.500
0.500 0.254 0.000
0.500 0.500 0.252
0.500 0.500 0.748
0.500 0.746 0.000
0.500 0.750 0.500
0.727 0.000 0.000
0.746 0.500 0.000
0.750 0.000 0.500
0.750 0.500 0.500
0.751 0.249 0.250
0.751 0.249 0.750
0.751 0.751 0.250
0.751 0.751 0.750
```

Summary:
E (eV for the cell shown): -376.379